## SmHo2I (PBE)

Data for crystalline SmHo2I at its relaxed geometry.

The calculation puts the final energy at -50.4 eV for the cell shown. The calculation puts the relative energy among the computed polymorphs at 0.0 meV per atom. As for the formation energy without anion corrections: -0.343 eV per atom.

The structure belongs to space group R-3m (No. 166, hexagonal axes); the cell edges are 3.7332, 3.7332 and 31.4361 Å and the angles 90.00°, 90.00° and 120.00°. Symmetry generates all atoms from Sm at (0.0000, 0.0000, 0.0000), Ho at (0.0000, 0.0000, 0.2452) and I at (0.0000, 0.0000, 0.5000).

***

## SmHoTeI (PBE)

Data for crystalline SmHoTeI at its relaxed geometry.

The calculation puts the final energy at -71.5 eV for the cell shown. As for the formation energy without anion corrections: -0.974 eV per atom.

The structure belongs to space group F-43m (No. 216); the cell edges are 7.6054, 7.6054 and 7.6054 Å and the angles 90.00°, 90.00° and 90.00°. Symmetry generates all atoms from Sm at (0.0000, 0.0000, 0.0000), Ho at (0.0000, 0.0000, 0.5000), Te at (0.2500, 0.2500, 0.2500) and I at (0.2500, 0.2500, 0.7500).

***

## Ho3SnI7 (PBE)

Data for crystalline Ho3SnI7 at its relaxed geometry.

The calculation puts the final energy at -40.1 eV for the cell shown. As for the formation energy without anion corrections: -1.046 eV per atom.

The structure belongs to space group P3m1 (No. 156); the cell edges are 8.5995, 8.5995 and 7.5030 Å and the angles 90.00°, 90.00° and 120.00°. Symmetry generates all atoms from Ho at (0.0158, 0.5079, 0.0000), Sn at (0.3333, 0.6667, 0.7177), I at (0.1685, 0.3370, 0.2439), I at (0.3366, 0.1683, 0.7750) and I at (0.6667, 0.3333, 0.2407).

***

## HoTlSn2I8 (PBE)

Data for crystalline HoTlSn2I8 at its relaxed geometry.

The calculation puts the final energy at -36.7 eV for the cell shown. As for the formation energy without anion corrections: -0.782 eV per atom.

The structure belongs to space group P-1 (No. 2); the cell edges are 7.3029, 7.7657 and 9.5424 Å and the angles 89.98°, 89.95° and 88.92°. Symmetry generates all atoms from Ho at (0.0000, 0.0000, 0.0000), Tl at (0.0000, 0.0000, 0.5000), Sn at (0.5000, 0.4999, 0.2504), I at (0.2353, 0.3237, 0.0001), I at (0.2471, 0.8441, 0.2227), I at (0.2475, 0.8446, 0.7771) and I at (0.2697, 0.3630, 0.5003).

***

## SrHoI (PBE)

Data for crystalline SrHoI at its relaxed geometry.

The calculation puts the final energy at -18.5 eV for the cell shown. As for the formation energy without anion corrections: -0.473 eV per atom.

The structure belongs to space group P-6m2 (No. 187); the cell edges are 3.9487, 3.9487 and 16.0998 Å and the angles 90.00°, 90.00° and 120.00°. Symmetry generates all atoms from Sr at (0.0000, 0.0000, 0.0000), Sr at (0.3333, 0.6667, 0.5000), Ho at (0.3333, 0.6667, 0.1937) and I at (0.0000, 0.0000, 0.3359).

***

## Sr2HoI (PBE)

Data for crystalline Sr2HoI at its relaxed geometry.

The calculation puts the final energy at -30.6 eV for the cell shown. As for the formation energy without anion corrections: -0.179 eV per atom.

The structure belongs to space group R-3m (No. 166, hexagonal axes); the cell edges are 3.9624, 3.9624 and 37.1761 Å and the angles 90.00°, 90.00° and 120.00°. Symmetry generates all atoms from Sr at (0.0000, 0.0000, 0.0976), Ho at (0.0000, 0.0000, 0.0000) and I at (0.0000, 0.0000, 0.5000).

***

## TbHoI4 (PBE)

Data for crystalline TbHoI4 at its relaxed geometry.

The calculation puts the final energy at -45.2 eV for the cell shown. As for the formation energy without anion corrections: -1.201 eV per atom.

The structure belongs to space group C2/m (No. 12); the cell edges are 16.0527, 4.1200 and 7.1468 Å and the angles 90.00°, 97.80° and 90.00°. Symmetry generates all atoms from Tb at (0.0000, 0.0000, 0.0000), Ho at (0.0000, 0.5000, 0.5000), I at (0.1228, 0.0000, 0.3728) and I at (0.1237, 0.5000, 0.8680).

***

## TbHoI4 (PBE)

Data for crystalline TbHoI4 at its relaxed geometry.

The calculation puts the final energy at -22.6 eV for the cell shown. As for the formation energy without anion corrections: -1.201 eV per atom.

The structure belongs to space group P2/m (No. 10); the cell edges are 7.1400, 4.1234 and 7.9486 Å and the angles 90.00°, 90.35° and 90.00°. Symmetry generates all atoms from Tb at (0.0000, 0.0000, 0.0000), Ho at (0.5000, 0.5000, 0.0000), I at (0.1676, 0.5000, 0.7522) and I at (0.3373, 0.0000, 0.2457).